{
  "formula": "Tl2NiAsO4",
  "functional": "GGA+U",
  "state": "relaxed",
  "lattice_angstrom": [[-6.806, 1.274, -0.487], [-0.710, -5.620, -0.941], [4.554, 1.613, 4.523]],
  "species": ["O", "O", "As", "Tl", "Ni", "O", "Tl", "O"],
  "fractional_positions": [[0.743, 0.530, 0.235], [0.418, 0.799, 0.273], [0.726, 0.745, 0.495], [0.263, 0.210, 0.435], [0.983, 0.426, 0.840], [0.059, 0.105, 0.860], [0.471, 0.973, 0.958], [0.726, 0.600, 0.678]],
  "e_tot_ev_per_atom": -4.884
}